(1)
{"formula": "Ge2BiPt", "functional": "GGA-PBE", "state": "relaxed", "cell": [[3.5568, 0.0000, 0.0000], [1.7784, 3.0802, 0.0000], [1.7784, 1.0267, 8.9685]], "species": ["Pt", "Bi", "Ge", "Ge"], "frac_coords": [[0.5000, 0.5000, 0.5000], [0.0000, 0.0000, 0.0000], [0.1109, 0.1109, 0.6673], [0.8891, 0.8891, 0.3327]], "total_magnetization_mub_per_fu": 0.00, "formation_enthalpy_0k_ev_per_atom": -0.073}



(2)
{"formula": "Ag4RhW", "functional": "GGA-PBE", "state": "relaxed", "cell": [[-2.5970, -0.1594, 4.5679], [-5.2316, -0.5141, 0.0327], [-2.1893, -4.4952, 1.6234]], "species": ["Ag", "Ag", "Ag", "Ag", "Rh", "W"], "frac_coords": [[0.3750, 0.8749, 0.3750], [0.3750, 0.3750, 0.3750], [0.3750, 0.3750, 0.8749], [0.8749, 0.3750, 0.3750], [0.7500, 0.7500, 0.7500], [0.0000, 0.0000, 0.0000]], "total_magnetization_mub_per_fu": 0.00, "formation_enthalpy_0k_ev_per_atom": 0.796}



(3)
{"formula": "CsInNi3", "functional": "GGA-PBE", "state": "relaxed", "cell": [[4.9561, 0.0000, 0.0000], [0.0000, 4.9561, 0.0000], [0.0000, 0.0000, 4.9561]], "species": ["Ni", "Ni", "Ni", "Cs", "In"], "frac_coords": [[0.0000, 0.0000, 0.5000], [0.0000, 0.5000, 0.0000], [0.5000, 0.0000, 0.0000], [0.5000, 0.5000, 0.5000], [0.0000, 0.0000, 0.0000]], "relative_energy_mev_per_atom": 0, "total_magnetization_mub_per_fu": 0.00, "formation_enthalpy_0k_ev_per_atom": 0.945}



(4)
{"formula": "ScTl2ZnF6", "functional": "GGA-PBE", "state": "relaxed", "cell": [[-4.5033, -4.0027, -1.4004], [3.4833, -2.3259, -4.5532], [3.4347, -5.8244, 5.6028]], "species": ["F", "F", "F", "F", "F", "F", "F", "F", "F", "F", "F", "F", "Tl", "Tl", "Tl", "Tl", "Zn", "Zn", "Sc", "Sc"], "frac_coords": [[0.5000, 0.2471, 0.2663], [0.7353, 0.0131, 0.5000], [0.5000, 0.2471, 0.7337], [0.7339, 0.4823, 0.5000], [0.7647, 0.9869, 0.0000], [0.2661, 0.4823, 0.5000], [0.2339, 0.5177, 0.0000], [0.0000, 0.7529, 0.2337], [0.7661, 0.5177, 0.0000], [0.2353, 0.9869, 0.0000], [0.2647, 0.0131, 0.5000], [0.0000, 0.7529, 0.7663], [0.0000, 0.2526, 0.7500], [0.5000, 0.7474, 0.7500], [0.0000, 0.2526, 0.2500], [0.5000, 0.7474, 0.2500], [0.0000, 0.7508, 0.5000], [0.5000, 0.2492, 0.0000], [0.5000, 0.2474, 0.5000], [0.0000, 0.7526, 0.0000]], "total_magnetization_mub_per_fu": 0.00, "raw_formation_energy_ev_per_atom": -2.5130}